This record from OQMD describes a geometry-optimized NaInAuO structure. The functional is PBE-GGA.

VASP energy = -3.65 eV/atom

abc: 7.3886 7.0257 7.0257
angles: 27.54 90.00 90.00
Fractional coordinates of all 8 atoms:
Au1 0.0000 0.2844 0.2844
Au2 0.5000 0.7609 0.7609
In1 0.2292 0.8854 0.8854
In2 0.7708 0.8854 0.8854
Na1 0.5000 0.5482 0.5482
Na2 0.0000 0.5723 0.5723
O1 0.2477 0.0317 0.0317
O2 0.7523 0.0317 0.0317